{
  "formula": "SbTePN2",
  "functional": "PBEsol",
  "state": "relaxed",
  "energy_ev_per_cell": -24.0,
  "formation_energy_uncorrected_ev_per_atom": 1.382,
  "relative_energy_ev_per_atom": 0.177,
  "dos_ef_per_ev_cell": 2.398,
  "lattice": [[3.951, 0.000, 0.000], [0.000, 3.951, 0.000], [0.000, 0.000, 6.443]],
  "species": ["P", "Sb", "N", "N", "Te"],
  "frac_coords": [[0.500, 0.500, 0.500], [0.000, 0.000, 0.000], [0.000, 0.500, 0.000], [0.500, 0.000, 0.000], [0.000, 0.000, 0.500]]
}